First-principles (PBE) data for an optimized crystal structure of Pu2Ga3Pt5, as listed in the Alexandria database.

## Properties
Size of the total moment, μB per formula unit: 10.50
Calculated formation energy, eV per atom: -0.74
Symmetry: Ibam
E, eV per atom: -7.5341

abc: 5.713 8.641 8.641
angles: 79.69 70.70 70.70
Atoms (fractional coordinates):
Pt 0.535 0.215 0.215
Pt 0.250 0.500 0.500
Pt 0.902 0.921 0.275
Pt 0.965 0.785 0.785
Pt 0.750 0.500 0.500
Pt 0.098 0.079 0.725
Pt 0.035 0.215 0.215
Pt 0.402 0.275 0.921
Pt 0.465 0.785 0.785
Pt 0.598 0.725 0.079
Ga 0.250 0.000 0.000
Ga 0.642 0.463 0.252
Ga 0.142 0.252 0.463
Ga 0.358 0.537 0.748
Ga 0.858 0.748 0.537
Ga 0.750 0.000 0.000
Pu 0.633 0.136 0.599
Pu 0.867 0.401 0.864
Pu 0.133 0.599 0.136
Pu 0.367 0.864 0.401


First-principles (PBE) data for an optimized crystal structure of LaSmZnSb, as listed in the Alexandria database.

## Properties
Size of the total moment, μB per formula unit: 0.00
Energy relative to the elements, uncorrected, eV/atom: -0.602
Symmetry: F-43m
E, eV per atom: -4.3629

abc: 5.378 5.378 5.378
angles: 60.00 60.00 60.00
Atoms (fractional coordinates):
La 0.250 0.250 0.250
Zn 0.000 0.000 0.000
Sb 0.500 0.500 0.500
Sm 0.750 0.750 0.750


First-principles (PBE) data for an optimized crystal structure of Nb2Al2Cd, as listed in the Alexandria database.

## Properties
Size of the total moment, μB per formula unit: 0.00
Calculated formation energy, eV per atom: 0.05
Symmetry: P4/mbm
E, eV per atom: -5.6560

abc: 7.972 7.972 3.003
angles: 90.00 90.00 90.00
Atoms (fractional coordinates):
Nb 0.382 0.882 0.000
Nb 0.118 0.382 0.000
Nb 0.618 0.118 0.000
Nb 0.882 0.618 0.000
Al 0.821 0.321 0.500
Al 0.679 0.821 0.500
Al 0.179 0.679 0.500
Al 0.321 0.179 0.500
Cd 0.500 0.500 0.000
Cd 0.000 0.000 0.000


First-principles (PBE) data for an optimized crystal structure of Tm7Bi2Sb2, as listed in the Alexandria database.

## Properties
Size of the total moment, μB per formula unit: 1.52
Energy relative to the elements, uncorrected, eV/atom: -0.322
Symmetry: Cmmm
E, eV per atom: -4.6223

abc: 7.073 6.997 7.073
angles: 90.00 98.90 90.00
Atoms (fractional coordinates):
Tm 0.500 0.740 0.500
Tm 0.500 0.260 0.500
Tm 0.000 0.000 0.000
Tm 0.500 0.265 0.000
Tm 0.500 0.735 0.000
Tm 0.000 0.265 0.500
Tm 0.000 0.735 0.500
Bi 0.806 0.500 0.806
Bi 0.194 0.500 0.194
Sb 0.277 0.000 0.723
Sb 0.723 0.000 0.277


First-principles (PBE) data for an optimized crystal structure of LiSnSbAu, as listed in the Alexandria database.

## Properties
Size of the total moment, μB per formula unit: 0.00
Energy relative to the elements, uncorrected, eV/atom: -0.152
Symmetry: F-43m
E, eV per atom: -3.4808

abc: 5.010 5.010 5.010
angles: 60.00 60.00 60.00
Atoms (fractional coordinates):
Sb 0.250 0.250 0.250
Li 0.500 0.500 0.500
Sn 0.750 0.750 0.750
Au 0.000 0.000 0.000